1.
Below is Pm12Dy3Zn after structural relaxation, with properties calculated at the PBE level.

Results
- Spin magnetization: 0.00 μB per atom
- Formation enthalpy at 0 K: 0.01 eV/atom
- Fermi-level density of states: 23.17 states/eV/cell

Cell and atoms, written as CIF:
```
data_Pm12Dy3Zn
_chemical_formula_sum 'Pm12 Dy3 Zn1'
_symmetry_space_group_name_H-M 'P 4/m m m'
_symmetry_Int_Tables_number 123
_symmetry_space_group_name_Hall '-P 4 2'
_cell_length_a 5.045
_cell_length_b 5.045
_cell_length_c 20.384
_cell_angle_alpha 90.00
_cell_angle_beta 90.00
_cell_angle_gamma 90.00
loop_
_atom_site_label
_atom_site_type_symbol
_atom_site_fract_x
_atom_site_fract_y
_atom_site_fract_z
Pm1 Pm 0.000 0.000 0.000
Pm2 Pm 0.000 0.000 0.243
Pm3 Pm 0.000 0.000 0.500
Pm4 Pm 0.000 0.500 0.118
Pm5 Pm 0.000 0.500 0.372
Dy1 Dy 0.500 0.500 0.245
Dy2 Dy 0.500 0.500 0.500
Zn1 Zn 0.500 0.500 0.000
```

2.
Below is Pm2Dy3Zn2 after structural relaxation, with properties calculated at the PBE level.

Results
- Spin magnetization: 0.10 μB per atom
- Formation enthalpy at 0 K: -0.13 eV/atom
- Fermi-level density of states: 15.10 states/eV/cell

Cell and atoms, written as CIF:
```
data_Pm2Dy3Zn2
_chemical_formula_sum 'Pm4 Dy6 Zn4'
_symmetry_space_group_name_H-M 'C m m m'
_symmetry_Int_Tables_number 65
_symmetry_space_group_name_Hall '-C 2 2'
_cell_length_a 3.630
_cell_length_b 30.362
_cell_length_c 3.554
_cell_angle_alpha 90.00
_cell_angle_beta 90.00
_cell_angle_gamma 90.00
loop_
_atom_site_label
_atom_site_type_symbol
_atom_site_fract_x
_atom_site_fract_y
_atom_site_fract_z
Pm1 Pm 0.000 0.199 0.000
Dy1 Dy 0.000 0.082 0.000
Dy2 Dy 0.000 0.500 0.500
Zn1 Zn 0.000 0.362 0.500
```

3.
Below is Pm4Dy5Zn after structural relaxation, with properties calculated at the PBE level.

Results
- Spin magnetization: 0.00 μB per atom
- Formation enthalpy at 0 K: -0.06 eV/atom
- Fermi-level density of states: 11.82 states/eV/cell

Cell and atoms, written as CIF:
```
data_Pm4Dy5Zn
_chemical_formula_sum 'Pm4 Dy5 Zn1'
_symmetry_space_group_name_H-M 'P 4/m m m'
_symmetry_Int_Tables_number 123
_symmetry_space_group_name_Hall '-P 4 2'
_cell_length_a 3.587
_cell_length_b 3.587
_cell_length_c 23.994
_cell_angle_alpha 90.00
_cell_angle_beta 90.00
_cell_angle_gamma 90.00
loop_
_atom_site_label
_atom_site_type_symbol
_atom_site_fract_x
_atom_site_fract_y
_atom_site_fract_z
Pm1 Pm 0.000 0.000 0.106
Pm2 Pm 0.000 0.000 0.319
Dy1 Dy 0.500 0.500 0.000
Dy2 Dy 0.500 0.500 0.213
Dy3 Dy 0.500 0.500 0.427
Zn1 Zn 0.000 0.000 0.500
```

4.
Below is PmDyZn4 after structural relaxation, with properties calculated at the PBE level.

Results
- Spin magnetization: 0.00 μB per atom
- Formation enthalpy at 0 K: -0.33 eV/atom
- Fermi-level density of states: 5.72 states/eV/cell

Cell and atoms, written as CIF:
```
data_PmDyZn4
_chemical_formula_sum 'Pm4 Dy4 Zn16'
_symmetry_space_group_name_H-M 'F -4 3 m'
_symmetry_Int_Tables_number 216
_symmetry_space_group_name_Hall 'F -4 2 3'
_cell_length_a 7.786
_cell_length_b 7.786
_cell_length_c 7.786
_cell_angle_alpha 90.00
_cell_angle_beta 90.00
_cell_angle_gamma 90.00
loop_
_atom_site_label
_atom_site_type_symbol
_atom_site_fract_x
_atom_site_fract_y
_atom_site_fract_z
Pm1 Pm 0.000 0.000 0.000
Dy1 Dy 0.250 0.250 0.250
Zn1 Zn 0.125 0.125 0.625
```

5.
Below is PmDyZn6 after structural relaxation, with properties calculated at the PBE level.

Results
- Spin magnetization: 0.00 μB per atom
- Formation enthalpy at 0 K: -0.31 eV/atom
- Fermi-level density of states: 6.65 states/eV/cell

Cell and atoms, written as CIF:
```
data_PmDyZn6
_chemical_formula_sum 'Pm2 Dy2 Zn12'
_symmetry_space_group_name_H-M 'A m m 2'
_symmetry_Int_Tables_number 38
_symmetry_space_group_name_Hall 'A 2 -2'
_cell_length_a 4.414
_cell_length_b 6.597
_cell_length_c 10.619
_cell_angle_alpha 90.00
_cell_angle_beta 90.00
_cell_angle_gamma 90.00
loop_
_atom_site_label
_atom_site_type_symbol
_atom_site_fract_x
_atom_site_fract_y
_atom_site_fract_z
Pm1 Pm 0.000 0.000 0.000
Dy1 Dy 0.500 0.000 0.301
Zn1 Zn 0.000 0.000 0.492
Zn2 Zn 0.000 0.207 0.733
Zn3 Zn 0.500 0.000 0.804
Zn4 Zn 0.500 0.204 0.569
```

6.
Below is PmDyZn4 after structural relaxation, with properties calculated at the PBE level.

Results
- Spin magnetization: 0.00 μB per atom
- Formation enthalpy at 0 K: -0.36 eV/atom
- Fermi-level density of states: 11.56 states/eV/cell

Cell and atoms, written as CIF:
```
data_PmDyZn4
_chemical_formula_sum 'Pm2 Dy2 Zn8'
_symmetry_space_group_name_H-M 'I m m m'
_symmetry_Int_Tables_number 71
_symmetry_space_group_name_Hall '-I 2 2'
_cell_length_a 4.508
_cell_length_b 7.153
_cell_length_c 7.797
_cell_angle_alpha 90.00
_cell_angle_beta 90.00
_cell_angle_gamma 90.00
loop_
_atom_site_label
_atom_site_type_symbol
_atom_site_fract_x
_atom_site_fract_y
_atom_site_fract_z
Pm1 Pm 0.000 0.000 0.000
Dy1 Dy 0.000 0.500 0.000
Zn1 Zn 0.000 0.247 0.334
```